This record from the Alexandria database describes a geometry-optimized Be2NbCdPd structure. The functional is PBE-GGA.

Results
As for the total DFT energy (no corrections): -4.03 eV per atom. For the density of states at the Fermi level, the calculation gives 2.46 states/eV/cell.

a b c (Å): 4.2036 4.9062 4.2036
angles (deg): 90.00 90.00 90.00
With the nearest neighbours (Å) after each atom.
Atoms (fractional coordinates):
1 Cd 0.0000 0.5000 0.0000  2 Pd 2.45
2 Pd 0.0000 0.0000 0.0000  4 Be 2.10
3 Be 0.0000 0.0000 0.5000  2 Pd 2.10
4 Be 0.5000 0.0000 0.0000  2 Pd 2.10
5 Nb 0.5000 0.5000 0.5000  4 Cd 2.97, 8 Be 3.23